No. 1
9
Lattice="-3.990 -2.611 2.005 2.282 -4.786 4.980 -1.727 2.972 7.105" Properties=species:S:1:pos:R:3 comment="NdPa2S6 PBE-GGA relaxed" space_group=C2/m total_energy_ev_per_cell=-63.1 formation_energy_uncorrected_ev_per_atom=-1.620 n_ef_per_ev_cell=3.9 relative_energy_mev_per_atom=30 pbc="T T T"
Nd 0.278 -0.907 6.043
Pa -0.576 -1.385 10.393
Pa -2.858 -3.041 3.698
S -3.015 -2.385 10.911
S -0.419 -2.041 3.180
S -2.265 -5.989 7.708
S -0.815 -2.677 8.235
S -1.169 1.564 6.382
S -2.618 -1.749 5.856

=====

No. 2
12
Lattice="4.663 0.000 0.000 0.000 3.129 0.000 -1.873 0.000 15.380" Properties=species:S:1:pos:R:3 comment="CrSbP PBE-GGA relaxed" space_group=C2/m total_energy_ev_per_cell=-78.2 formation_energy_uncorrected_ev_per_atom=-0.134 n_ef_per_ev_cell=5.3 relative_energy_mev_per_atom=29 pbc="T T T"
Cr 0.216 0.000 10.704
Cr 2.574 0.000 4.675
Cr 1.152 1.564 3.014
Cr 1.638 1.564 12.366
Sb 1.167 0.000 0.866
Sb 1.623 0.000 14.514
Sb 0.231 1.564 8.556
Sb 2.560 1.564 6.823
P 0.268 0.000 4.474
P 2.522 0.000 10.906
P -0.668 1.564 12.164
P 3.458 1.564 3.216

=====

No. 3
10
Lattice="-3.331 1.062 -2.445 2.120 -1.318 -3.460 -3.875 -9.391 1.201" Properties=species:S:1:pos:R:3 comment="Pm2ZnGe4Rh3 PBE-GGA relaxed" formation_energy_ev_per_atom=-0.754 space_group=P-4m2 total_energy_ev_per_cell=-58.8 n_ef_per_ev_cell=6.5 pbc="T T T"
Pm -2.606 -1.749 -0.931
Pm -1.874 -7.770 -0.820
Zn -2.543 -4.823 -2.352
Ge -0.605 -0.128 -2.953
Ge 0.000 0.000 0.000
Ge -4.140 -5.466 -0.456
Ge -0.340 -4.053 -1.296
Rh -1.938 -4.695 0.601
Rh -5.063 -7.704 -0.169
Rh 0.583 -1.815 -1.582

=====

No. 4
5
Lattice="5.429 0.000 0.000 0.000 5.429 0.000 0.000 0.000 4.833" Properties=species:S:1:pos:R:3 comment="Sr2LiCaO PBE-GGA relaxed" space_group=P4/mmm total_energy_ev_per_cell=-17.4 formation_energy_uncorrected_ev_per_atom=-1.028 n_ef_per_ev_cell=3.2 pbc="T T T"
Sr 0.000 2.714 0.000
Sr 2.714 0.000 0.000
Ca 0.000 0.000 2.416
O 0.000 0.000 0.000
Li 2.714 2.714 2.416

=====

No. 5
4
Lattice="3.797 -0.037 -0.077 0.077 5.821 1.106 -1.828 0.637 3.267" Properties=species:S:1:pos:R:3 comment="CuCSN PBE-GGA relaxed" space_group=Cm total_energy_ev_per_cell=-24.3 formation_energy_uncorrected_ev_per_atom=0.365 n_ef_per_ev_cell=0.0 relative_energy_mev_per_atom=213 pbc="T T T"
S 0.292 0.968 0.354
C 2.277 4.361 3.003
Cu 2.210 0.367 1.540
N -1.526 3.238 3.307

=====

No. 6
4
Lattice="2.776 0.000 0.000 0.000 2.776 0.000 0.000 0.000 5.956" Properties=species:S:1:pos:R:3 comment="EuTcN2 PBE-GGA relaxed" space_group=P4/mmm total_energy_ev_per_cell=-36.6 formation_energy_uncorrected_ev_per_atom=0.169 n_ef_per_ev_cell=1.2 relative_energy_mev_per_atom=573 pbc="T T T"
Eu 1.388 1.388 2.978
Tc 1.388 1.388 0.000
N 0.000 0.000 4.748
N 0.000 0.000 1.208

=====

No. 7
6
Lattice="0.310 3.793 -0.016 0.740 -0.087 -6.339 -7.782 -1.263 2.322" Properties=species:S:1:pos:R:3 comment="KCdGa PBE-GGA relaxed" formation_energy_ev_per_atom=-0.028 space_group=Immm total_energy_ev_per_cell=-10.2 n_ef_per_ev_cell=4.6 relative_energy_mev_per_atom=40 pbc="T T T"
K -4.452 0.362 -0.525
K -2.280 2.081 -3.508
Cd 0.200 -0.023 -1.711
Cd 0.541 -0.063 -4.628
Ga -1.289 2.014 -0.178
Ga -5.442 0.430 -3.855

=====

No. 8
5
Lattice="5.396 0.000 0.000 0.000 5.396 0.000 0.000 0.000 3.748" Properties=species:S:1:pos:R:3 comment="NaLa2MnN PBE-GGA relaxed" space_group=P4/mmm total_energy_ev_per_cell=-30.1 formation_energy_uncorrected_ev_per_atom=-0.291 n_ef_per_ev_cell=3.7 pbc="T T T"
Na 2.698 2.698 1.874
N 0.000 0.000 0.000
Mn 0.000 0.000 1.874
La 0.000 2.698 0.000
La 2.698 0.000 0.000

=====

No. 9
5
Lattice="-0.225 -1.356 3.692 0.384 -3.688 -1.331 7.872 0.570 0.689" Properties=species:S:1:pos:R:3 comment="PdSeIO2 PBE-GGA relaxed" space_group=P4/mmm total_energy_ev_per_cell=-18.6 formation_energy_uncorrected_ev_per_atom=0.300 n_ef_per_ev_cell=2.8 relative_energy_mev_per_atom=252 pbc="T T T"
I 3.936 0.285 0.345
O 0.192 -1.844 -0.666
O -0.113 -0.678 1.846
Se 4.015 -2.237 1.525
Pd 0.000 0.000 0.000

=====

No. 10
4
Lattice="6.208 0.000 0.000 0.000 6.208 0.000 0.000 0.000 2.738" Properties=species:S:1:pos:R:3 comment="KSrW2 PBE-GGA relaxed" formation_energy_ev_per_atom=2.182 space_group=P4/mmm total_energy_ev_per_cell=-20.0 n_ef_per_ev_cell=4.0 relative_energy_mev_per_atom=1353 pbc="T T T"
K 3.104 0.000 1.369
Sr 0.000 3.104 1.369
W 0.000 0.000 0.000
W 3.104 3.104 0.000

=====

No. 11
12
Lattice="4.260 0.000 0.000 0.000 8.507 0.304 -2.130 -2.449 8.946" Properties=species:S:1:pos:R:3 comment="TbPm2Pr3As6 PBE-GGA relaxed" formation_energy_ev_per_atom=-1.512 space_group=C2/m total_energy_ev_per_cell=-74.5 n_ef_per_ev_cell=1.7 pbc="T T T"
Tb 2.130 0.000 0.000
Pm 2.130 4.043 6.177
Pm 0.000 2.015 3.073
Pr 2.130 4.253 0.152
Pr 2.130 -0.217 6.011
Pr 0.000 6.274 3.239
As 0.000 6.142 6.288
As 2.130 4.121 3.175
As 2.130 -0.085 2.962
As 0.000 2.068 0.085
As 2.130 3.990 9.165
As 0.000 1.937 6.075

=====

No. 12
4
Lattice="-1.436 2.108 -0.937 -2.619 0.266 0.673 -0.175 3.206 3.540" Properties=species:S:1:pos:R:3 comment="MnVH2 PBE-GGA relaxed" space_group=R3m total_energy_ev_per_cell=-24.6 n_ef_per_ev_cell=3.3 relative_energy_mev_per_atom=237 pbc="T T T"
Mn -2.703 1.584 -0.175
V -2.115 2.790 1.638
H -0.436 2.671 2.736
H -1.091 1.326 0.715

=====

No. 13
4
Lattice="3.537 0.000 0.000 0.000 3.537 0.000 0.000 0.000 7.296" Properties=species:S:1:pos:R:3 comment="AcPuIr2 PBE-GGA relaxed" formation_energy_ev_per_atom=-0.383 space_group=P4/mmm total_energy_ev_per_cell=-37.7 n_ef_per_ev_cell=9.7 relative_energy_mev_per_atom=0 pbc="T T T"
Ac 1.769 1.769 3.648
Ir 0.000 0.000 5.768
Ir 0.000 0.000 1.528
Pu 1.769 1.769 0.000